# PBE AcPr3Pd2, optimized geometry
# ΔH_f (0 K), kcal/mol of atoms: -11.40
# Total energy, Ry per atom: -0.3895
# Energy above the lowest structure with this stoichiometry, meV per atom: 0.0
# Mass density, g/cm³: 7.85
data_AcPr3Pd2
_chemical_formula_sum 'Ac2 Pr6 Pd4'
_symmetry_space_group_name_H-M 'P 1'
_symmetry_Int_Tables_number 1
_symmetry_space_group_name_Hall 'P 1'
_cell_length_a 4.0075
_cell_length_b 9.5366
_cell_length_c 10.2652
_cell_angle_alpha 107.58
_cell_angle_beta 90.00
_cell_angle_gamma 102.13
loop_
_atom_site_label
_atom_site_type_symbol
_atom_site_fract_x
_atom_site_fract_y
_atom_site_fract_z
Pr1 Pr 0.3421 0.6842 0.5127
Pr2 Pr 0.3121 0.6243 0.1327
Pr3 Pr 0.6879 0.3757 0.8673
Pr4 Pr 0.0332 0.0663 0.6703
Pr5 Pr 0.6579 0.3158 0.4873
Pr6 Pr 0.9668 0.9337 0.3297
Ac1 Ac 0.8903 0.7806 0.8721
Ac2 Ac 0.1097 0.2194 0.1279
Pd1 Pd 0.2488 0.4976 0.7088
Pd2 Pd 0.5200 0.0399 0.8750
Pd3 Pd 0.7512 0.5024 0.2912
Pd4 Pd 0.4800 0.9601 0.1250